# 1
This record from Alexandria describes Tb5Ho2 after structural relaxation. The functional is PBE-GGA.

Cell lengths 3.5356, 7.9405, 8.6748 Å; angles 111.53, 90.10, 102.86 degrees
Last column: nearest neighbours and their distance in Å.
Space group P-1 (No. 2)
Symmetry-distinct sites (fractional):
Tb 0.0000 0.0000 0.0000 (multiplicity 1)  8 Tb 3.54, 4 Ho 3.55
Tb 0.1432 0.2860 0.4285 (multiplicity 2)  9 Tb 3.54-3.55, 3 Ho 3.54-3.55
Tb 0.4282 0.8563 0.2850 (multiplicity 2)  3 Ho 3.53-3.54, 9 Tb 3.54-3.55
Ho 0.2854 0.5713 0.8575 (multiplicity 2)  8 Tb 3.53-3.55, 4 Ho 3.54

## Properties
- calculated formation energy (eV/f.u.) = 0.11
- E above lowest polymorph (meV/atom) = 7.3
- DOS at the Fermi energy (states/eV per atom) = 1.26



# 2
This record from Alexandria describes Tb5Ho6 after structural relaxation. The functional is PBE-GGA.

Cell lengths 9.0290, 12.9361, 6.2921 Å; angles 90.00, 107.48, 90.00 degrees
Last column: nearest neighbours and their distance in Å.
Space group C2/m (No. 12)
Symmetry-distinct sites (fractional):
Tb 0.0000 0.0000 0.0000 (multiplicity 2)  6 Tb 3.36-3.56, 6 Ho 3.47-3.56
Tb 0.0000 0.1287 0.5000 (multiplicity 4)  5 Tb 3.33-3.57, 6 Ho 3.39-3.51
Tb 0.0000 0.2597 0.0000 (multiplicity 4)  6 Ho 3.30-3.50, 3 Tb 3.36-3.57
Ho 0.1654 0.5000 0.1870 (multiplicity 4)  3 Ho 3.20-3.46, 5 Tb 3.49-3.56
Ho 0.1785 0.3683 0.6708 (multiplicity 8)  3 Ho 3.29-3.46, 5 Tb 3.30-3.51

## Properties
- calculated formation energy (eV/f.u.) = 1.54
- DOS at the Fermi energy (states/eV per atom) = 1.08



# 3
This record from Alexandria describes Tb5Ho after structural relaxation. The functional is PBE-GGA.

Cell lengths 11.2212, 5.0115, 7.0960 Å; angles 90.00, 108.45, 90.00 degrees
Last column: nearest neighbours and their distance in Å.
Space group C2/m (No. 12)
Symmetry-distinct sites (fractional):
Tb 0.0000 0.0000 0.0000 (multiplicity 2)  10 Tb 3.54-3.55, 2 Ho 3.55
Tb 0.1664 0.5000 0.8331 (multiplicity 4)  2 Ho 3.54, 10 Tb 3.54-3.55
Tb 0.1668 0.5000 0.3336 (multiplicity 4)  9 Tb 3.54-3.55, 3 Ho 3.55
Ho 0.0000 0.0000 0.5000 (multiplicity 2)  12 Tb 3.54-3.55

## Properties
- calculated formation energy (eV/f.u.) = 0.09
- DOS at the Fermi energy (states/eV per atom) = 1.33